# 1
# La2SmTl3, optimized geometry, DFT GGA-PBE
data_La2SmTl3
_chemical_formula_sum 'La8 Sm4 Tl12'
_cell_length_a 3.843
_cell_length_b 29.812
_cell_length_c 6.865
_cell_angle_alpha 90.00
_cell_angle_beta 90.00
_cell_angle_gamma 90.00
_space_group_name_H-M_alt 'C m c m'
_space_group_IT_number 63
_space_group_name_Hall '-C 2c 2'
loop_
_atom_site_label
_atom_site_type_symbol
_atom_site_fract_x
_atom_site_fract_y
_atom_site_fract_z
La1 La 0.000 0.007 0.250
La2 La 0.000 0.155 0.750
Sm1 Sm 0.000 0.332 0.750
Tl1 Tl 0.000 0.253 0.250
Tl2 Tl 0.000 0.422 0.013
# Crystal system   orthorhombic
# Raw total energy   -3.8695 eV/atom
# ΔE_f   -1.5 eV/f.u.


# 2
# IrOsBr2, optimized geometry, DFT GGA-PBE
data_IrOsBr2
_chemical_formula_sum 'Ir2 Os2 Br4'
_cell_length_a 4.313
_cell_length_b 4.313
_cell_length_c 7.318
_cell_angle_alpha 90.00
_cell_angle_beta 90.00
_cell_angle_gamma 90.00
_space_group_name_H-M_alt 'I 4/m m m'
_space_group_IT_number 139
_space_group_name_Hall '-I 4 2'
loop_
_atom_site_label
_atom_site_type_symbol
_atom_site_fract_x
_atom_site_fract_y
_atom_site_fract_z
Ir1 Ir 0.000 0.000 0.000
Os1 Os 0.000 0.000 0.500
Br1 Br 0.000 0.500 0.250
# Crystal system   tetragonal
# Raw total energy   -4.2346 eV/atom


# 3
# Ti2NiAs2, optimized geometry, DFT GGA-PBE
data_Ti2NiAs2
_chemical_formula_sum 'Ti4 Ni2 As4'
_cell_length_a 6.585
_cell_length_b 6.585
_cell_length_c 3.537
_cell_angle_alpha 90.00
_cell_angle_beta 90.00
_cell_angle_gamma 90.00
_space_group_name_H-M_alt 'P 4/m b m'
_space_group_IT_number 127
_space_group_name_Hall '-P 4 2ab'
loop_
_atom_site_label
_atom_site_type_symbol
_atom_site_fract_x
_atom_site_fract_y
_atom_site_fract_z
Ti1 Ti 0.154 0.346 0.000
Ni1 Ni 0.000 0.000 0.500
As1 As 0.153 0.653 0.500
# Crystal system   tetragonal
# Raw total energy   -6.7769 eV/atom
# ΔE_f   -3.0 eV/f.u.